First-principles (PBE) data for a relaxed Mn2SiCl crystal, as listed in Alexandria via LeMat-Bulk.

Summary:
- Energy above the most stable polymorph in this dataset: 0.011 eV per atom
- M_tot: 6.56 Bohr magnetons per cell
- ΔE_f (raw): -0.1 eV per formula unit

abc: 3.953 3.953 7.164
angles: 62.59 62.59 47.46
Site moments in Bohr magnetons follow the coordinates.
Element x y z (fractional)
Si  0.750  0.750  0.750  -0.18
Cl  0.250  0.250  0.250  0.03
Mn  0.539  0.539  0.573  3.26
Mn  0.961  0.961  0.927  3.26

---

First-principles (PBE) data for a relaxed Dy5Er2Mg5 crystal, as listed in Alexandria via LeMat-Bulk.

Summary:
- Energy above the most stable polymorph in this dataset: 0.000 eV per atom
- M_tot: 0.00 Bohr magnetons per cell
- ΔE_f: -0.03 eV per atom

abc: 3.594 8.706 11.656
angles: 71.40 81.13 78.09
Element x y z (fractional)
Dy  0.500  0.500  0.500
Dy  0.666  0.688  0.980
Dy  0.447  0.862  0.243
Dy  0.334  0.312  0.020
Dy  0.553  0.138  0.757
Mg  0.170  0.159  0.500
Mg  0.000  0.000  0.000
Mg  0.775  0.174  0.276
Mg  0.830  0.841  0.500
Mg  0.225  0.826  0.724
Er  0.122  0.513  0.242
Er  0.878  0.487  0.758

---

Question: M_tot of number 2 (Dy5Er2Mg5)?
Answer: 0.00 Bohr magnetons per cell

---

Question: The highest M_tot belongs to which entry?
Answer: Mn2SiCl